Entry 1:
{
  "formula": "Pr4TlIn2",
  "functional": "PBE",
  "state": "optimized geometry",
  "total_energy_ev_per_cell": -56.83,
  "formation_enthalpy_0k_ev_per_atom": -0.208,
  "cell": [[-0.454, -4.877, 5.842], [6.241, -2.244, -1.388], [3.673, 9.041, 1.894]],
  "species": ["Pr", "In", "Tl", "In", "Pr", "In", "Pr", "Pr", "In", "Pr", "Pr", "Pr", "Pr", "Tl"],
  "fractional_positions": [[0.446, 0.992, 0.778], [0.220, 0.250, 0.935], [0.207, 0.750, 0.211], [0.591, 0.750, 0.534], [0.446, 0.508, 0.778], [0.409, 0.250, 0.466], [0.984, 0.250, 0.157], [0.016, 0.750, 0.843], [0.780, 0.750, 0.065], [0.554, 0.492, 0.222], [0.554, 0.008, 0.222], [0.034, 0.750, 0.452], [0.966, 0.250, 0.548], [0.793, 0.250, 0.789]]
}

Entry 2:
{
  "formula": "Cs2CdAg2F6",
  "functional": "PBE",
  "state": "optimized geometry",
  "total_energy_ev_per_cell": -40.67,
  "raw_formation_energy_kj_per_mol_atoms": -185.2,
  "cell": [[-4.003, -1.304, -5.431], [2.823, -1.879, -5.977], [-0.746, -6.792, -2.167]],
  "species": ["F", "F", "F", "Cs", "F", "F", "Ag", "Cd", "Cs", "Ag", "F"],
  "fractional_positions": [[0.227, 0.227, 0.757], [0.773, 0.773, 0.243], [0.773, 0.211, 0.243], [0.781, 0.781, 0.657], [0.789, 0.227, 0.757], [0.227, 0.789, 0.757], [0.420, 0.420, 0.739], [0.000, 0.000, 0.000], [0.219, 0.219, 0.343], [0.580, 0.580, 0.261], [0.211, 0.773, 0.243]]
}

Entry 3:
{
  "formula": "PuInAu6",
  "functional": "PBE",
  "state": "optimized geometry",
  "total_energy_ev_per_cell": -38.68,
  "formation_enthalpy_0k_ev_per_atom": -0.243,
  "cell": [[4.965, -0.033, 0.843], [2.363, 4.275, 0.588], [-0.337, -0.855, 7.656]],
  "species": ["Au", "Au", "Au", "Au", "Au", "Au", "In", "Pu"],
  "fractional_positions": [[0.693, 0.154, 0.348], [0.376, 0.813, 0.284], [0.624, 0.187, 0.716], [0.307, 0.846, 0.652], [0.284, 0.358, 0.082], [0.716, 0.642, 0.918], [0.000, 0.000, 0.000], [0.000, 0.500, 0.500]]
}